# Al2CrAg (SCAN, single point on PBEsol structure)
data_Al2CrAg
_cell_length_a 3.280
_cell_length_b 3.280
_cell_length_c 5.611
_cell_angle_alpha 90.00
_cell_angle_beta 90.00
_cell_angle_gamma 90.00
_space_group_name_H-M_alt 'P 4 m m'
_space_group_IT_number 99
loop_
_space_group_symop_operation_xyz
'x,y,z'
'-y,x,z'
'-x,-y,z'
'y,-x,z'
'-x,y,z'
'y,x,z'
'x,-y,z'
'-y,-x,z'
loop_
_atom_site_label
_atom_site_type_symbol
_atom_site_fract_x
_atom_site_fract_y
_atom_site_fract_z
Al1 Al 0.000 0.000 0.000
Al2 Al 0.500 0.500 0.278
Cr1 Cr 0.000 0.000 0.484
Ag1 Ag 0.500 0.500 0.767
# Polymorph energy (0 for the lowest one)   0.67 eV/f.u.
# E_tot   -16.34 eV/atom
# E_form   -0.025 eV per atom